Below is CdHgSbTe2 at its PBEsol-relaxed geometry, with properties calculated at the SCAN level.

## Properties
final energy: -41.3838 eV/atom

a = 5.5626 Å, b = 5.5626 Å, c = 5.4369 Å
α = 90.00°, β = 90.00°, γ = 90.00°
Sites, in units of the cell vectors:
Cd 0.0000 0.0000 0.0000
Hg 0.5000 0.5000 0.5000
Sb 0.5000 0.5000 0.0000
Te 0.0000 0.5000 0.5000
Te 0.5000 0.0000 0.5000

---

Below is Si2AuSe at its PBEsol-relaxed geometry, with properties calculated at the SCAN level.

## Properties
final energy: -26.7134 eV/atom

a = 2.7634 Å, b = 4.9556 Å, c = 4.9800 Å
α = 90.00°, β = 90.00°, γ = 90.00°
Sites, in units of the cell vectors:
Si 0.0000 0.0000 0.0000
Si 0.5000 0.0000 0.5000
Au 0.0000 0.5000 0.5000
Se 0.5000 0.5000 0.0000

---

Below is BeCdCl4 at its PBEsol-relaxed geometry, with properties calculated at the SCAN level.

## Properties
final energy: -10.3875 eV/atom

a = 5.7585 Å, b = 5.7585 Å, c = 5.7585 Å
α = 60.00°, β = 60.00°, γ = 60.00°
Sites, in units of the cell vectors:
Be 0.0000 0.0000 0.0000
Cd 0.2500 0.2500 0.2500
Cl 0.1277 0.6241 0.6241
Cl 0.6241 0.1277 0.6241
Cl 0.6241 0.6241 0.1277
Cl 0.6241 0.6241 0.6241

---

Below is LiZn2Ag at its PBEsol-relaxed geometry, with properties calculated at the SCAN level.

## Properties
calculated formation energy: -0.7 eV per formula unit
final energy: -15.3746 eV/atom

a = 4.3213 Å, b = 4.3213 Å, c = 4.3213 Å
α = 60.00°, β = 60.00°, γ = 60.00°
Sites, in units of the cell vectors:
Li 0.0000 0.0000 0.0000
Zn 0.2500 0.2500 0.2500
Zn 0.5000 0.5000 0.5000
Ag 0.7500 0.7500 0.7500

---

- Which of these has the lowest final energy?
  CdHgSbTe2